A plane-wave DFT calculation with PBE-GGA was carried out for a geometry-optimized MgTcI2N structure.

Cell lengths 5.631, 5.631, 3.780 Å; angles 90.00, 90.00, 90.00 degrees
Sites, in units of the cell vectors:
I (0.000, 0.500, 0.000)
I (0.500, 0.000, 0.000)
Mg (0.500, 0.500, 0.500)
Tc (0.000, 0.000, 0.000)
N (0.000, 0.000, 0.500)

The value obtained for the formation energy from raw total energies is 86 kJ/mol of formula units. The calculation puts the relative energy among the computed polymorphs at 0 meV/atom. As for the volume: 23.97 Å³/atom.